(1)
## Zn3SnAu (PBE)

Data for a relaxed Zn3SnAu crystal.

Values from the calculation:
As for the calculated volume: 19.97 Å³/atom. As for the energy above the most stable polymorph in this dataset: 0.0 meV per atom. The value obtained for the density of states at the Fermi level is 3.92 states/eV per cell. As for the formation energy from the elements: 0.05 eV/atom.

```
Zn3SnAu
1.0
6.4379 0.0000 0.0000
-3.2189 5.5754 0.0000
0.0000 0.0000 5.5637
Zn Sn Au
6 2 2
Direct
0.2007 0.4013 0.2500 Zn
0.2007 0.7993 0.2500 Zn
0.4013 0.2007 0.7500 Zn
0.5987 0.7993 0.2500 Zn
0.7993 0.2007 0.7500 Zn
0.7993 0.5987 0.7500 Zn
0.3333 0.6667 0.7500 Sn
0.6667 0.3333 0.2500 Sn
0.0000 0.0000 0.0000 Au
0.0000 0.0000 0.5000 Au
```


(2)
## LaCrSe2 (PBE)

Data for a relaxed LaCrSe2 crystal.

Values from the calculation:
As for the calculated volume: 23.72 Å³/atom. As for the energy above the most stable polymorph in this dataset: 283.5 meV per atom. The value obtained for the density of states at the Fermi level is 2.26 states/eV per cell. The formation energy without anion corrections is -0.8197 eV per atom.

```
LaCrSe2
1.0
2.2729 -2.8998 0.0000
2.2729 2.8998 0.0000
0.0000 0.0000 7.1975
La Cr Se
1 1 2
Direct
0.0000 0.0000 0.0000 La
0.0000 0.0000 0.5000 Cr
0.5000 0.5000 0.2653 Se
0.5000 0.5000 0.7347 Se
```


(3)
## LiMnP (PBE)

Data for a relaxed LiMnP crystal.

Values from the calculation:
As for the calculated volume: 12.30 Å³/atom. The value obtained for the density of states at the Fermi level is 2.32 states/eV per cell. As for the formation energy from the elements: -0.18 eV/atom.

```
LiMnP
1.0
3.9168 0.0000 0.0000
-1.9584 3.3920 0.0000
0.0000 0.0000 2.7773
Li Mn P
1 1 1
Direct
0.0000 0.0000 0.0000 Li
0.3333 0.6667 0.5000 Mn
0.6667 0.3333 0.5000 P
```


(4)
## LiPm2TmS5 (PBE)

Data for a relaxed LiPm2TmS5 crystal.

Values from the calculation:
As for the calculated volume: 21.25 Å³/atom. The formation energy without anion corrections is -1.9219 eV per atom.

```
LiPm2TmS5
1.0
1.9737 -8.1895 0.0000
1.9737 8.1895 0.0000
0.0000 0.0000 11.8333
Li Pm Tm S
2 4 2 10
Direct
0.0147 0.9853 0.5000 Li
0.9853 0.0147 0.0000 Li
0.3749 0.6251 0.3161 Pm
0.3925 0.6075 0.7045 Pm
0.6075 0.3925 0.2045 Pm
0.6251 0.3749 0.8161 Pm
0.3022 0.6978 0.0219 Tm
0.6978 0.3022 0.5219 Tm
0.0001 0.9999 0.3024 S
0.9999 0.0001 0.8024 S
0.1379 0.8621 0.0176 S
0.1925 0.8075 0.3655 S
0.2141 0.7859 0.6788 S
0.4521 0.5479 0.0893 S
0.5479 0.4521 0.5893 S
0.7859 0.2141 0.1788 S
0.8075 0.1925 0.8655 S
0.8621 0.1379 0.5176 S
```


(5)
## La2CrH (PBE)

Data for a relaxed La2CrH crystal.

Values from the calculation:
As for the calculated volume: 20.09 Å³/atom. As for the energy above the most stable polymorph in this dataset: 364.3 meV per atom. The value obtained for the density of states at the Fermi level is 10.72 states/eV per cell.

```
La2CrH
1.0
0.0000 3.4251 3.4251
3.4251 0.0000 3.4251
3.4251 3.4251 0.0000
La Cr H
2 1 1
Direct
0.2500 0.2500 0.2500 La
0.7500 0.7500 0.7500 La
0.0000 0.0000 0.0000 Cr
0.5000 0.5000 0.5000 H
```


(6)
## Tb2Pm3Cd6 (PBE)

Data for a relaxed Tb2Pm3Cd6 crystal.

Values from the calculation:
As for the calculated volume: 29.75 Å³/atom. The value obtained for the density of states at the Fermi level is 11.11 states/eV per cell. As for the formation energy from the elements: 0.00 eV/atom.

```
Tb2Pm3Cd6
1.0
-2.0774 2.0774 18.9535
2.0774 -2.0774 18.9535
2.0774 2.0774 -18.9535
Tb Pm Cd
2 3 6
Direct
0.1336 0.1336 0.0000 Tb
0.8664 0.8664 0.0000 Tb
0.3129 0.3129 0.0000 Pm
0.5000 0.5000 0.0000 Pm
0.6871 0.6871 0.0000 Pm
0.0672 0.5672 0.5000 Cd
0.2263 0.2263 0.0000 Cd
0.4328 0.9328 0.5000 Cd
0.5672 0.0672 0.5000 Cd
0.7737 0.7737 0.0000 Cd
0.9328 0.4328 0.5000 Cd
```


| no. | electronic total energy (eV per atom) |
| --- | --- |
| 1 | -2.174 |
| 2 | -6.200 |
| 3 | -5.682 |
| 4 | -5.980 |
| 5 | -5.145 |
| 6 | -2.636 |